Computed, not measured: a crystal of GeTeIr3 relaxed with PBEsol at the meta-GGA SCAN level of DFT.

Cell lengths 4.810, 4.810, 4.810 Å; angles 90.00, 90.00, 90.00 degrees
Space group Pm-3m (No. 221)
Symmetry-distinct sites (fractional):
Ge (0.000, 0.000, 0.000) [1 per cell]
Te (0.500, 0.500, 0.500) [1 per cell]
Ir (0.000, 0.500, 0.500) [3 per cell]

Calculated values
E_form (uncorrected) ... 1.8005 eV/atom
M_tot ... 1.582 Bohr magnetons per cell
Theoretical density ... 11.6 g/cm³
E_tot ... -52.127 eV per atom